Entry from the Alexandria database: a relaxed TiTeBr2 crystal (PBE-GGA).

Values from the calculation:
mass density: 4.8 g cm⁻³
E_form (uncorrected): -14.49 kcal/mol of atoms
ΔE to the lowest computed polymorph: 0 meV per atom
total DFT energy (no corrections): -16.89 eV per cell

POSCAR file:
```
TiTeBr2
1.0
1.6906 0.9761 11.6033
-1.6906 0.9761 11.6033
0.0000 -1.9521 11.6033
Ti Te Br
1 1 2
direct
0.0000 0.0000 0.0000
0.5000 0.5000 0.5000
0.3830 0.3830 0.3830
0.6170 0.6170 0.6170
```